Record 1
Entry from the Alexandria database: an optimized crystal structure of TaPbSe2 (PBE).

a b c (Å): 9.0848 9.0848 9.0848
angles (deg): 159.00 158.57 30.18
With the nearest neighbours (Å) after each atom.
Fractional positions:
1 Pb 0.3094 0.8094 0.5000  4 Pb 3.31-3.38, 6 Se 3.41-3.52
2 Ta 0.5514 0.5514 0.0000  6 Se 2.53-2.69
3 Se 0.6607 0.1607 0.5000  2 Ta 2.53
4 Se 0.9785 0.9785 0.0000  4 Ta 2.69

Computed properties:
Its space group is Imm2, No. 44.

Record 2
Entry from the Alexandria database: an optimized crystal structure of TaPbSe4 (PBE).

a b c (Å): 5.7156 5.7156 5.7156
angles (deg): 60.00 60.00 60.00
With the nearest neighbours (Å) after each atom.
Fractional positions:
1 Ta 0.7500 0.7500 0.7500  12 Se 3.35, 4 Pb 3.50
2 Se 0.3769 0.8694 0.3769  6 Se 2.81-2.90
3 Pb 0.0000 0.0000 0.0000  12 Se 3.36, 4 Ta 3.50
4 Se 0.8694 0.3769 0.3769  6 Se 2.81-2.90
5 Se 0.3769 0.3769 0.8694  6 Se 2.81-2.90
6 Se 0.3769 0.3769 0.3769  6 Se 2.81-2.90

Computed properties:
Its space group is F-43m, No. 216.

Record 3
Entry from the Alexandria database: an optimized crystal structure of TaPbSe2 (PBE).

a b c (Å): 5.0560 3.5598 5.5985
angles (deg): 71.49 90.00 90.00
With the nearest neighbours (Å) after each atom.
Fractional positions:
1 Se 0.5000 0.3882 0.3476  2 Ta 2.53
2 Se 0.0000 0.0596 0.0063  2 Ta 2.64
3 Ta 0.0000 0.3759 0.3733  4 Se 2.53-2.64
4 Pb 0.5000 0.6763 0.7728  3 Se 2.87-3.05

Computed properties:
Its space group is Amm2, No. 38.

| no. | E_form (uncorrected) (eV/atom) | electronic total energy (eV per cell) |
| --- | --- | --- |
| 1 | -0.329 | -23.85 |
| 2 | 0.878 | -24.23 |
| 3 | -0.077 | -22.84 |